[1]
Entry from Alexandria via LeMat-Bulk: a relaxed structure of Ti5Be4Os (PBE).

The structure in extended XYZ format:
```
10
Lattice="3.0192 0.0000 0.0000 0.0000 3.0192 0.0000 0.0000 0.0000 14.4696" Properties=species:S:1:pos:R:3 pbc="T T T"
Ti 1.5096 1.5096 10.0742
Ti 1.5096 1.5096 1.5594
Ti 1.5096 1.5096 12.9101
Ti 1.5096 1.5096 7.2348
Ti 1.5096 1.5096 4.3954
Be 0.0000 0.0000 8.6466
Be 0.0000 0.0000 2.9645
Be 0.0000 0.0000 11.5051
Be 0.0000 0.0000 5.8230
Os 0.0000 0.0000 0.0000
```

- formation enthalpy at 0 K (eV per atom) = -0.2578
- magnetization (μB per cell) = 0.00
- VASP energy (eV per atom) = -6.819
- N(E_F) (states/eV/cell) = 3.0

[2]
Entry from Alexandria via LeMat-Bulk: a relaxed structure of LiCa2MgRh (PBE).

The structure in extended XYZ format:
```
5
Lattice="-0.9409 -4.1014 3.4361 4.2167 1.5791 3.0396 -2.9474 2.8579 2.6042" Properties=species:S:1:pos:R:3 pbc="T T T"
Ca -0.4705 -2.0507 1.7180
Ca 2.1084 0.7896 1.5198
Li -1.4737 1.4289 1.3021
Mg 0.1642 0.1678 4.5399
Rh 0.0000 0.0000 0.0000
```

- offset from the most stable computed form (meV per atom) = 108
- formation enthalpy at 0 K (eV per atom) = -0.0351
- magnetization (μB per cell) = 0.00
- VASP energy (eV per atom) = -3.008
- N(E_F) (states/eV/cell) = 2.7

[3]
Entry from Alexandria via LeMat-Bulk: a relaxed structure of Ce4Ho3S8 (PBE).

The structure in extended XYZ format:
```
15
Lattice="-5.5245 -4.3133 3.7083 7.6020 -2.2068 0.2686 1.9834 7.1472 2.7780" Properties=species:S:1:pos:R:3 pbc="T T T"
S 0.6506 2.6107 3.9937
S 1.6403 -0.6061 5.9319
S 4.3928 1.5424 4.0861
S 3.4103 -1.9837 2.7612
S 2.4205 1.2332 0.8230
S -0.3319 -0.9154 2.6688
S 3.4082 4.7751 2.1416
S 6.1772 0.1652 0.9049
Ce 0.9917 3.5736 1.3890
Ce -2.7623 -2.1566 1.8542
Ce 3.8010 -1.1034 0.1343
Ce 0.0000 0.0000 0.0000
Ho -1.7706 1.4169 3.2432
Ho 1.0387 -3.2601 1.9884
Ho 2.0304 0.3135 3.3775
```

- magnetization (μB per cell) = 3.97
- VASP energy (eV per atom) = -6.703
- N(E_F) (states/eV/cell) = 22.0
- energy relative to the elements, uncorrected (eV/atom) = -2.00